1.
PBE-GGA Sr2SnTeRh, relaxed; raw total energy = -0.3168 Ry/atom; magnetic moment = 0.000 μB per atom; N(E_F) = 1.6 states/eV/f.u.; formation energy (no corrections) = -739 meV per atom
1.0
5.779 0.000 0.000
0.000 5.779 0.000
0.000 0.000 5.003
Sr Te Rh Sn
2 1 1 1
direct
0.000 0.500 0.000
0.500 0.000 0.000
0.500 0.500 0.500
0.000 0.000 0.000
0.000 0.000 0.500



2.
PBE-GGA ZrScCd2, relaxed; raw total energy = -0.3107 Ry/atom; magnetic moment = 0.000 μB per atom; offset from the most stable computed form = 0.126 eV/atom; ΔH_f (0 K) = -0.050 eV per atom; N(E_F) = 5.0 states/eV/f.u.
1.0
-2.747 -2.637 9.504
-3.449 -5.409 7.980
-0.428 -4.846 9.009
Cd Sc Zr
2 1 1
direct
0.999 0.999 0.999
0.501 0.501 0.501
0.250 0.250 0.250
0.750 0.750 0.750



3.
PBE-GGA La6Tb2DyTh, relaxed; raw total energy = -0.3637 Ry/atom; magnetic moment = 0.000 μB per atom; ΔH_f (0 K) = 0.136 eV per atom; N(E_F) = 13.2 states/eV/f.u.
1.0
0.346 -9.106 1.169
4.551 0.958 7.845
-9.046 -0.428 1.076
La Tb Dy Th
12 4 2 2
direct
0.102 0.066 0.788
0.398 0.212 0.934
0.898 0.934 0.212
0.602 0.788 0.066
0.310 0.048 0.474
0.190 0.526 0.952
0.690 0.952 0.526
0.810 0.474 0.048
0.086 0.722 0.422
0.414 0.578 0.278
0.914 0.278 0.578
0.586 0.422 0.722
0.434 0.793 0.706
0.066 0.294 0.207
0.566 0.207 0.294
0.934 0.706 0.793
0.250 0.927 0.073
0.750 0.073 0.927
0.250 0.438 0.562
0.750 0.562 0.438



4.
PBE-GGA NdReC2, relaxed; raw total energy = -0.6308 Ry/atom; magnetic moment = 0.000 μB per atom; offset from the most stable computed form = 0.062 eV/atom; ΔH_f (0 K) = 0.333 eV per atom; N(E_F) = 2.9 states/eV/f.u.
1.0
3.161 0.001 0.008
0.000 3.224 0.001
-1.566 -1.605 5.741
Nd Re C
1 1 2
direct
0.232 0.882 0.235
0.472 0.633 0.731
0.866 0.528 0.515
0.565 0.232 0.932



5.
PBE-GGA HgBi2PdO6, relaxed; raw total energy = -0.3703 Ry/atom; magnetic moment = 0.000 μB per atom; N(E_F) = 0.1 states/eV/f.u.; formation energy (no corrections) = -737 meV per atom
1.0
5.913 0.000 0.000
2.957 5.121 0.000
2.957 1.708 4.917
Hg Bi Pd O
1 2 1 6
direct
0.788 0.788 0.637
0.534 0.534 0.397
0.018 0.018 0.947
0.323 0.323 0.031
0.584 0.196 0.241
0.196 0.979 0.241
0.979 0.584 0.241
0.426 0.668 0.760
0.668 0.146 0.760
0.146 0.426 0.760



6.
PBE-GGA DyY3Er3, relaxed; raw total energy = -0.3766 Ry/atom; magnetic moment = 0.000 μB per atom; offset from the most stable computed form = 0.117 eV/atom; ΔH_f (0 K) = 0.259 eV per atom; N(E_F) = 11.6 states/eV/f.u.
1.0
8.231 0.000 0.000
-2.744 5.658 0.000
-2.744 -2.829 4.900
Dy Y Er
1 3 3
direct
0.562 0.000 0.000
0.014 0.600 0.600
0.414 0.000 0.400
0.414 0.400 0.000
0.625 0.653 0.653
0.973 0.000 0.347
0.973 0.347 0.000



7.
PBE-GGA ZrCl3, relaxed; raw total energy = -0.3206 Ry/atom; magnetic moment = 0.244 μB per atom; N(E_F) = 1.6 states/eV/f.u.; formation energy (no corrections) = -839 meV per atom
1.0
4.954 -0.033 0.000
0.930 4.866 0.000
-2.942 -2.416 3.170
Zr Cl
1 3
direct
0.000 0.000 0.000
0.250 0.750 0.500
0.500 0.500 0.000
0.750 0.250 0.500



8.
PBE-GGA DyPu3Sc2Te6, relaxed; raw total energy = -0.5684 Ry/atom; magnetic moment = 1.498 μB per atom; N(E_F) = 33.3 states/eV/f.u.; formation energy (no corrections) = -1141 meV per atom
1.0
-1.108 0.454 -4.133
8.290 -1.265 -2.361
-3.229 -8.916 2.126
Dy Pu Sc Te
1 3 2 6
direct
0.500 0.000 0.000
0.500 0.500 0.000
0.836 0.168 0.672
0.164 0.832 0.328
0.832 0.666 0.665
0.168 0.334 0.335
0.333 0.904 0.666
0.671 0.573 0.341
0.667 0.096 0.334
0.006 0.250 0.012
0.994 0.750 0.988
0.329 0.427 0.659